# 1
ZrFeNi2: optimized geometry, PBE-GGA.

abc: 4.656 4.656 4.656
angles: 132.16 132.16 69.97
Element x y z (fractional)
1 Zr 0.000 0.000 0.000
2 Fe 0.500 0.500 0.000
3 Ni 0.250 0.750 0.500
4 Ni 0.750 0.250 0.500

Energy relative to the elements (eV per atom): -0.217
Space-group type: I4/mmm, No. 139


# 2
ErAlAu3: optimized geometry, PBE-GGA.

abc: 8.934 4.706 9.345
angles: 90.00 90.00 90.00
Element x y z (fractional)
1 Er 0.234 0.250 0.002
2 Er 0.266 0.750 0.502
3 Er 0.734 0.250 0.498
4 Er 0.766 0.750 0.998
5 Al 0.100 0.250 0.675
6 Al 0.400 0.750 0.175
7 Al 0.600 0.250 0.825
8 Al 0.900 0.750 0.325
9 Au 0.067 0.250 0.404
10 Au 0.110 0.750 0.841
11 Au 0.113 0.750 0.153
12 Au 0.387 0.250 0.653
13 Au 0.390 0.250 0.341
14 Au 0.433 0.750 0.904
15 Au 0.567 0.250 0.096
16 Au 0.610 0.750 0.659
17 Au 0.613 0.750 0.347
18 Au 0.887 0.250 0.847
19 Au 0.890 0.250 0.159
20 Au 0.933 0.750 0.596

ΔE to the lowest computed polymorph (meV/atom): 20
Energy relative to the elements (eV per atom): -0.649
Space-group type: Pnma, No. 62


# 3
Cs2TcTeF6: optimized geometry, PBE-GGA.

abc: 6.856 6.856 6.856
angles: 112.76 112.76 103.08
Element x y z (fractional)
1 Cs 0.250 0.750 0.500
2 Cs 0.750 0.250 0.500
3 Tc 0.000 0.000 0.000
4 Te 0.500 0.500 0.000
5 F 0.183 0.183 0.366
6 F 0.183 0.817 0.000
7 F 0.234 0.234 0.000
8 F 0.766 0.766 0.000
9 F 0.817 0.183 0.000
10 F 0.817 0.817 0.634

Space-group type: I4/mmm, No. 139
ΔE_f (raw) (kJ per mole of atoms): -198.20


# 4
CaPr2Cd: optimized geometry, PBE-GGA.

abc: 3.936 3.936 8.755
angles: 90.00 90.00 90.00
Element x y z (fractional)
1 Ca 0.000 0.000 0.000
2 Pr 0.500 0.500 0.290
3 Pr 0.500 0.500 0.710
4 Cd 0.000 0.000 0.500

ΔE to the lowest computed polymorph (meV/atom): 0
Energy relative to the elements (eV per atom): -0.109
Space-group type: P4/mmm, No. 123


# 5
Ac4Sn3Rh: optimized geometry, PBE-GGA.

abc: 4.639 4.836 11.874
angles: 90.00 90.00 90.00
Element x y z (fractional)
1 Ac 0.000 0.000 0.000
2 Ac 0.000 0.500 0.451
3 Ac 0.500 0.000 0.687
4 Ac 0.500 0.500 0.195
5 Sn 0.000 0.500 0.746
6 Sn 0.500 0.000 0.394
7 Sn 0.500 0.500 0.914
8 Rh 0.000 0.000 0.253

Energy relative to the elements (eV per atom): -0.656
Space-group type: Pmm2, No. 25


# 6
ZrCdFe2: optimized geometry, PBE-GGA.

abc: 2.838 2.838 8.287
angles: 90.00 90.00 90.00
Element x y z (fractional)
1 Zr 0.000 0.000 0.000
2 Cd 0.000 0.000 0.500
3 Fe 0.500 0.500 0.255
4 Fe 0.500 0.500 0.745

Energy relative to the elements (eV per atom): 0.283
Space-group type: P4/mmm, No. 123


| no. | calculated total energy (eV/atom) | spin magnetization (μB/f.u.) |
| --- | --- | --- |
| 1 | -7.36 | 2.35 |
| 2 | -4.28 | 0.00 |
| 3 | -4.70 | 3.00 |
| 4 | -3.23 | 0.00 |
| 5 | -5.13 | 0.00 |
| 6 | -6.31 | 4.65 |